[1]
This record from the Alexandria database describes a relaxed structure of ScSb2Cl. The functional is PBE.

a = 3.1414 Å, b = 3.1414 Å, c = 11.6581 Å
α = 90.00°, β = 90.00°, γ = 89.98°
Last column: nearest neighbours and their distance in Å.
Fractional positions:
Cl 0.5000 0.5000 0.6496  4 Sc 2.68
Sb 0.0000 0.0000 0.0010  4 Sb 3.14
Sb 0.5000 0.5000 0.3283  4 Sb 3.14, 4 Sc 3.16
Sc 0.0000 0.0000 0.5211  4 Cl 2.68

## Properties
- E_form (uncorrected) (eV per atom) = -0.62
- density of states at the Fermi level (states/eV per cell) = 2.78
- calculated total energy (eV/atom) = -4.727
- size of the total moment (μB/atom) = 0.11
- volume (Å³/cell) = 115.0

---

[2]
This record from the Alexandria database describes a relaxed structure of ScSbCl2. The functional is PBE.

a = 3.3754 Å, b = 3.3754 Å, c = 12.1721 Å
α = 90.00°, β = 90.00°, γ = 119.08°
Last column: nearest neighbours and their distance in Å.
Fractional positions:
Sc 0.5000 0.5000 0.7500  4 Cl 2.50
Sb 0.5000 0.5000 0.2500  6 Sb 3.38-3.42
Cl 0.0000 0.0000 0.8992  2 Sc 2.50
Cl 0.0000 0.0000 0.6008  2 Sc 2.50

## Properties
- E_form (uncorrected) (eV per atom) = -0.97
- density of states at the Fermi level (states/eV per cell) = 3.67
- calculated total energy (eV/atom) = -4.502
- size of the total moment (μB/atom) = 0.01
- volume (Å³/cell) = 121.2

---

[3]
This record from the Alexandria database describes a relaxed structure of Sc2SbCl. The functional is PBE.

a = 3.4595 Å, b = 3.4595 Å, c = 7.6610 Å
α = 90.00°, β = 90.00°, γ = 103.13°
Last column: nearest neighbours and their distance in Å.
Fractional positions:
Cl 0.5000 0.5000 0.2500  4 Sc 2.93
Sb 0.5000 0.5000 0.7500  4 Sc 2.84
Sc 0.0000 0.0000 0.9912  2 Sb 2.84, 2 Cl 2.93
Sc 0.0000 0.0000 0.5088  2 Sb 2.84, 2 Cl 2.93

## Properties
- E_form (uncorrected) (eV per atom) = -0.78
- density of states at the Fermi level (states/eV per cell) = 4.01
- calculated total energy (eV/atom) = -5.433
- size of the total moment (μB/atom) = 0.00
- volume (Å³/cell) = 89.3